# PBE Li5BiPd8, optimized geometry
# Crystal system ... tetragonal
# Spin magnetization ... 0.000 μB/atom
# Calculated volume ... 217.8 Å³/cell
# Calculated density ... 8.3 Mg/m³
# DFT total energy ... -58.85 eV/f.u.
data_Li5BiPd8
_cell_length_a 6.5657
_cell_length_b 6.5657
_cell_length_c 6.5657
_cell_angle_alpha 110.04
_cell_angle_beta 110.04
_cell_angle_gamma 108.34
_space_group_name_H-M_alt 'P 1'
_space_group_IT_number 1
_space_group_name_Hall 'P 1'
loop_
_atom_site_label
_atom_site_type_symbol
_atom_site_fract_x
_atom_site_fract_y
_atom_site_fract_z
Li1 Li 0.0000 0.0000 0.0000
Li2 Li 0.1957 0.2888 0.6464
Li3 Li 0.4507 0.8043 0.0931
Li4 Li 0.6424 0.5493 0.3536
Li5 Li 0.7112 0.3576 0.9069
Bi1 Bi 0.2500 0.7500 0.5000
Pd1 Pd 0.1687 0.4170 0.0735
Pd2 Pd 0.3434 0.0952 0.9265
Pd3 Pd 0.4295 0.1723 0.4025
Pd4 Pd 0.5830 0.6566 0.7517
Pd5 Pd 0.7698 0.0270 0.5975
Pd6 Pd 0.8277 0.2302 0.2572
Pd7 Pd 0.9048 0.8313 0.2483
Pd8 Pd 0.9730 0.5705 0.7428